## InGe2Se4 (PBE)

Data for a relaxed structure of InGe2Se4.

Properties
Calculated density in g cm⁻³: 4.56
E_tot in eV per atom: -3.9054
Formation energy from raw total energies in eV/atom: -0.2038

a b c (Å): 8.196 8.196 6.241
angles (deg): 90.00 90.00 90.00
Space group I4/m (No. 87)
Unique sites:
In 0.000 0.000 0.000 x2
Ge 0.000 0.500 0.250 x4
Se 0.140 0.687 0.500 x8



## BaH3Rh (PBE)

Data for a relaxed structure of BaH3Rh.

Properties
Calculated density in g cm⁻³: 5.19
E_tot in eV per atom: -4.2591

a b c (Å): 7.048 5.080 9.217
angles (deg): 90.00 109.51 90.00
Space group P2_1/c (No. 14)
Unique sites:
Ba 0.221 0.234 0.180 x4
H 0.163 0.608 0.916 x4
H 0.358 0.096 0.961 x4
H 0.492 0.006 0.599 x4
Rh 0.393 0.745 0.475 x4